# PrTh5Pt6

A relaxed structure of PrTh5Pt6 (PBE-GGA, Alexandria).

a = 7.255 Å, b = 12.431 Å, c = 7.369 Å
α = 90.00°, β = 108.62°, γ = 90.00°
Space group C2/m (No. 12)
Unique sites:
Pr 0.000 0.000 0.000 [2 per cell]
Th 0.000 0.167 0.500 [4 per cell]
Th 0.000 0.333 0.000 [4 per cell]
Th 0.000 0.500 0.500 [2 per cell]
Pt 0.245 0.500 0.254 [4 per cell]
Pt 0.246 0.331 0.747 [8 per cell]

***

# Pr5ThPt4

A relaxed structure of Pr5ThPt4 (PBE-GGA, Alexandria).

a = 18.320 Å, b = 4.237 Å, c = 8.221 Å
α = 90.00°, β = 105.49°, γ = 90.00°
Space group C2/m (No. 12)
Unique sites:
Pr 0.000 0.000 0.000 [2 per cell]
Pr 0.167 0.500 0.350 [4 per cell]
Pr 0.167 0.500 0.845 [4 per cell]
Th 0.000 0.000 0.500 [2 per cell]
Pt 0.002 0.500 0.750 [4 per cell]
Pt 0.168 0.000 0.601 [4 per cell]

***

# PrTh2Pt

A relaxed structure of PrTh2Pt (PBE-GGA, Alexandria).

a = 3.718 Å, b = 3.718 Å, c = 8.388 Å
α = 90.00°, β = 90.00°, γ = 90.00°
Space group P4/mmm (No. 123)
Unique sites:
Pr 0.000 0.000 0.000 [1 per cell]
Th 0.500 0.500 0.301 [2 per cell]
Pt 0.000 0.000 0.500 [1 per cell]

Values from the calculation:
Excess energy over the best structure of this formula in the dataset   0.122 eV per atom

***

# PrThPt2

A relaxed structure of PrThPt2 (PBE-GGA, Alexandria).

a = 4.1353 Å, b = 4.1353 Å, c = 21.6153 Å
α = 90.00°, β = 90.00°, γ = 120.00°
Space group R3m (No. 160, hexagonal axes)
Unique sites:
Pr 0.0000 0.0000 0.0000 [3 per cell]
Th 0.0000 0.0000 0.1717 [3 per cell]
Pt 0.0000 0.0000 0.5829 [3 per cell]
Pt 0.0000 0.0000 0.7570 [3 per cell]

Values from the calculation:
Excess energy over the best structure of this formula in the dataset   0.089 eV per atom

***

# PrTh2Pt

A relaxed structure of PrTh2Pt (PBE-GGA, Alexandria).

a = 3.8200 Å, b = 3.8200 Å, c = 31.5661 Å
α = 90.00°, β = 90.00°, γ = 120.00°
Space group R-3m (No. 166, hexagonal axes)
Unique sites:
Pr 0.0000 0.0000 0.0000 [3 per cell]
Th 0.0000 0.0000 0.1071 [6 per cell]
Pt 0.0000 0.0000 0.5000 [3 per cell]

Values from the calculation:
Excess energy over the best structure of this formula in the dataset   0.390 eV per atom

***

# PrTh2Pt

A relaxed structure of PrTh2Pt (PBE-GGA, Alexandria).

a = 3.9221 Å, b = 3.9221 Å, c = 28.5134 Å
α = 90.00°, β = 90.00°, γ = 120.00°
Space group R3m (No. 160, hexagonal axes)
Unique sites:
Pr 0.0000 0.0000 0.0000 [3 per cell]
Th 0.0000 0.0000 0.5665 [3 per cell]
Th 0.0000 0.0000 0.7702 [3 per cell]
Pt 0.0000 0.0000 0.1680 [3 per cell]

Values from the calculation:
Excess energy over the best structure of this formula in the dataset   0.166 eV per atom

***

# PrThPt2

A relaxed structure of PrThPt2 (PBE-GGA, Alexandria).

a = 3.651 Å, b = 3.651 Å, c = 7.286 Å
α = 90.00°, β = 90.00°, γ = 90.00°
Space group P4/mmm (No. 123)
Unique sites:
Pr 0.000 0.000 0.000 [1 per cell]
Th 0.000 0.000 0.500 [1 per cell]
Pt 0.500 0.500 0.279 [2 per cell]

Values from the calculation:
Excess energy over the best structure of this formula in the dataset   0.148 eV per atom

***

# PrThPt4

A relaxed structure of PrThPt4 (PBE-GGA, Alexandria).

a = 7.828 Å, b = 7.828 Å, c = 7.828 Å
α = 90.00°, β = 90.00°, γ = 90.00°
Space group F-43m (No. 216)
Unique sites:
Pr 0.000 0.000 0.000 [4 per cell]
Th 0.250 0.250 0.250 [4 per cell]
Pt 0.125 0.125 0.625 [16 per cell]

***

| no. | spin magnetization (μB/f.u.) | VASP energy (eV/atom) | D(E_F) (states/eV per atom) |
| --- | --- | --- | --- |
| 1 | 0.000 | -7.692 | 0.55 |
| 2 | 0.000 | -6.417 | 0.87 |
| 3 | 0.000 | -6.883 | 1.42 |
| 4 | 0.000 | -7.165 | 0.61 |
| 5 | 0.656 | -6.615 | 1.57 |
| 6 | 0.000 | -6.838 | 1.55 |
| 7 | 0.000 | -7.106 | 0.91 |
| 8 | 0.000 | -7.083 | 0.79 |